Computed, not measured: a relaxed Zn2SiNi crystal at the GGA-PBE level of DFT.

Unit cell a=4.576 b=2.711 c=4.351 alpha=94.50 beta=90.00 gamma=90.00
Element x y z (fractional)
Ni  0.500  0.250  0.250
Si  0.500  0.750  0.750
Zn  0.000  0.979  0.008
Zn  0.000  0.521  0.492

Formation energy (no corrections) = -0.03 eV per atom
SG = P2/m



Computed, not measured: a relaxed KMoBr crystal at the GGA-PBE level of DFT.

Unit cell a=5.642 b=5.642 c=5.642 alpha=60.00 beta=60.00 gamma=60.00
Site moments in Bohr magnetons follow the coordinates.
Element x y z (fractional)
Br  0.500  0.500  0.500  0.11
K  0.750  0.750  0.750  0.05
Mo  0.000  0.000  0.000  4.24

Formation energy (no corrections) = 1.01 eV per atom
SG = F-43m



Computed, not measured: a relaxed YGe2SbS crystal at the GGA-PBE level of DFT.

Unit cell a=5.179 b=5.868 c=5.179 alpha=90.00 beta=90.00 gamma=90.00
Element x y z (fractional)
Y  0.000  0.500  0.000
Sb  0.000  0.000  0.000
Ge  0.000  0.000  0.500
Ge  0.500  0.000  0.000
S  0.500  0.500  0.500

Formation energy (no corrections) = 0.55 eV per atom
SG = P4/mmm



Computed, not measured: a relaxed TlCoBr2 crystal at the GGA-PBE level of DFT.

Unit cell a=4.001 b=4.001 c=9.131 alpha=90.00 beta=90.00 gamma=125.94
Site moments in Bohr magnetons follow the coordinates.
Element x y z (fractional)
Br  0.000  0.000  0.066  0.08
Br  0.000  0.000  0.434  0.08
Co  0.500  0.500  0.250  2.11
Tl  0.500  0.500  0.750  0.00

Formation energy (no corrections) = -0.11 eV per atom
SG = Cmmm



Computed, not measured: a relaxed Li2LaSi crystal at the GGA-PBE level of DFT.

Unit cell a=10.513 b=10.513 c=10.513 alpha=17.03 beta=17.03 gamma=17.03
Site moments in Bohr magnetons follow the coordinates.
Element x y z (fractional)
La  0.750  0.750  0.750  0.54
Li  0.983  0.983  0.983  0.01
Li  0.517  0.517  0.517  0.01
Si  0.250  0.250  0.250  0.00

Formation energy (no corrections) = 0.22 eV per atom
SG = R-3m



Computed, not measured: a relaxed AcB2Ru2 crystal at the GGA-PBE level of DFT.

Unit cell a=6.475 b=5.720 c=6.136 alpha=72.56 beta=58.03 gamma=55.53
Element x y z (fractional)
Ac  0.875  0.750  0.250
Ac  0.125  0.250  0.750
B  0.548  0.404  0.250
B  0.799  0.903  0.750
B  0.201  0.097  0.250
B  0.452  0.596  0.750
Ru  0.510  0.750  0.979
Ru  0.760  0.250  0.479
Ru  0.490  0.250  0.021
Ru  0.240  0.750  0.521

SG = C2/c
Formation energy = -2.304 eV/f.u.



Computed, not measured: a relaxed La2Sm2Tm15 crystal at the GGA-PBE level of DFT.

Unit cell a=8.662 b=8.662 c=8.662 alpha=80.69 beta=80.69 gamma=80.69
Element x y z (fractional)
La  0.880  0.880  0.880
La  0.120  0.120  0.120
Sm  0.664  0.664  0.664
Sm  0.336  0.336  0.336
Tm  0.000  0.500  0.000
Tm  0.000  0.000  0.500
Tm  0.500  0.000  0.000
Tm  0.307  0.000  0.693
Tm  0.693  0.307  0.000
Tm  0.000  0.693  0.307
Tm  0.307  0.693  0.000
Tm  0.000  0.307  0.693
Tm  0.693  0.000  0.307
Tm  0.364  0.845  0.364
Tm  0.364  0.364  0.845
Tm  0.845  0.364  0.364
Tm  0.636  0.155  0.636
Tm  0.636  0.636  0.155
Tm  0.155  0.636  0.636

SG = R-3m
Formation energy = 5.225 eV/f.u.



Computed, not measured: a relaxed ScCd2Pt3 crystal at the GGA-PBE level of DFT.

Unit cell a=4.856 b=7.749 c=5.960 alpha=90.00 beta=90.00 gamma=71.75
Element x y z (fractional)
Sc  0.337  0.324  0.000
Sc  0.663  0.676  0.000
Cd  0.000  0.000  0.000
Cd  0.000  0.000  0.500
Cd  0.335  0.328  0.500
Cd  0.665  0.672  0.500
Pt  0.823  0.351  0.756
Pt  0.500  0.000  0.252
Pt  0.177  0.649  0.244
Pt  0.823  0.351  0.244
Pt  0.177  0.649  0.756
Pt  0.500  0.000  0.748

SG = P2/m
Formation energy = -4.139 eV/f.u.